Entry 1
Entry from the Alexandria database: an optimized crystal structure of Mo3PtS (PBE).

a b c (Å): 4.801 4.801 4.801
angles (deg): 90.00 90.00 90.00
Fractional positions:
Mo (0.000, 0.500, 0.000)
Mo (0.000, 0.000, 0.500)
Mo (0.500, 0.000, 0.000)
S (0.500, 0.500, 0.500)
Pt (0.000, 0.000, 0.000)

Values from the calculation:
D(E_F)	5.46	states/eV/cell


Entry 2
Entry from the Alexandria database: an optimized crystal structure of Mo3PtS (PBE).

a b c (Å): 4.384 4.384 4.384
angles (deg): 90.00 90.00 90.00
Fractional positions:
Mo (0.000, 0.500, 0.000)
Mo (0.000, 0.000, 0.500)
Mo (0.500, 0.000, 0.000)
S (0.000, 0.000, 0.000)
Pt (0.500, 0.500, 0.500)

Values from the calculation:
D(E_F)	6.02	states/eV/cell


Stability verdict: entry 2, ahead by 1481 meV per atom


Entry 1
Entry from the Alexandria database: an optimized crystal structure of Sb3MoPt (PBE).

a b c (Å): 5.218 5.218 5.218
angles (deg): 90.00 90.00 90.00
Last column: magnetic moment on the atom in μB.
Fractional positions:
Sb (0.000, 0.500, 0.000)  -0.12
Sb (0.000, 0.000, 0.500)  -0.11
Sb (0.500, 0.000, 0.000)  -0.12
Mo (0.500, 0.500, 0.500)  3.25
Pt (0.000, 0.000, 0.000)  -0.10

Values from the calculation:
D(E_F)	2.39	states/eV/cell


Entry 2
Entry from the Alexandria database: an optimized crystal structure of Sb3MoPt (PBE).

a b c (Å): 5.134 5.134 5.134
angles (deg): 90.00 90.00 90.00
Fractional positions:
Sb (0.000, 0.500, 0.000)
Sb (0.000, 0.000, 0.500)
Sb (0.500, 0.000, 0.000)
Mo (0.000, 0.000, 0.000)
Pt (0.500, 0.500, 0.500)

Values from the calculation:
D(E_F)	2.43	states/eV/cell


Stability verdict: entry 2, ahead by 263 meV per atom